Here is PtPb2 after structural relaxation from Alexandria via LeMat-Bulk. Energies are from PBE-GGA.

Cell: 6.934 6.934 4.775 Å, 90.00 90.00 42.50°
Fractional positions:
Pt1 0.203 0.797 0.750
Pt2 0.797 0.203 0.250
Pb1 0.139 0.597 0.250
Pb2 0.403 0.861 0.250
Pb3 0.597 0.139 0.750
Pb4 0.861 0.403 0.750

Computed properties:
**Fermi-level density of states**: 3.21 states/eV/cell
**Formation energy**: -11.8 kJ/mol of atoms

Here is CrOs2W after structural relaxation from Alexandria via LeMat-Bulk. Energies are from PBE-GGA.

Cell: 4.676 4.676 4.757 Å, 99.77 99.77 34.03°
Fractional positions:
Cr1 0.000 0.000 0.000
Os1 0.256 0.256 0.768
Os2 0.744 0.744 0.232
W1 0.500 0.500 0.500

Computed properties:
**Fermi-level density of states**: 4.17 states/eV/cell
**Energy above the lowest structure with this stoichiometry**: 0.053 eV/atom
**Formation energy**: 13.9 kJ/mol of atoms

Here is Cs2SiTeBr6 after structural relaxation from Alexandria via LeMat-Bulk. Energies are from PBE-GGA.

Cell: 7.988 7.988 7.988 Å, 120.23 120.23 89.61°
Fractional positions:
Cs1 0.250 0.750 0.500
Cs2 0.750 0.250 0.500
Si1 0.000 0.000 0.000
Te1 0.500 0.500 0.000
Br1 0.226 0.226 0.000
Br2 0.228 0.228 0.456
Br3 0.228 0.772 0.000
Br4 0.772 0.228 0.000
Br5 0.772 0.772 0.544
Br6 0.774 0.774 0.000

Computed properties:
**Formation energy (no corrections)**: -85.6 kJ per mole of atoms
**Fermi-level density of states**: 5.43 states/eV/cell

Here is CdReP2 after structural relaxation from Alexandria via LeMat-Bulk. Energies are from PBE-GGA.

Cell: 2.876 2.876 10.291 Å, 90.00 90.00 118.52°
Fractional positions:
Cd1 0.000 0.000 0.000
Re1 0.000 0.000 0.500
P1 0.500 0.500 0.313
P2 0.500 0.500 0.687

Computed properties:
**Fermi-level density of states**: 2.02 states/eV/cell
**Formation energy**: 30.5 kJ/mol of atoms

Here is KMg6BiO8 after structural relaxation from Alexandria via LeMat-Bulk. Energies are from PBE-GGA.

Cell: 4.594 4.594 9.211 Å, 90.00 90.00 90.00°
Fractional positions:
K1 0.000 0.000 0.000
Mg1 0.000 0.500 0.227
Mg2 0.000 0.500 0.773
Mg3 0.500 0.000 0.227
Mg4 0.500 0.000 0.773
Mg5 0.500 0.500 0.000
Mg6 0.500 0.500 0.500
Bi1 0.000 0.000 0.500
O1 0.000 0.000 0.255
O2 0.000 0.000 0.745
O3 0.000 0.500 0.000
O4 0.000 0.500 0.500
O5 0.500 0.000 0.000
O6 0.500 0.000 0.500
O7 0.500 0.500 0.250
O8 0.500 0.500 0.750

Computed properties:
**Formation energy (no corrections)**: -190.7 kJ per mole of atoms
**Energy above the lowest structure with this stoichiometry**: 0.100 eV/atom

Here is AcZnSnSb3 after structural relaxation from Alexandria via LeMat-Bulk. Energies are from PBE-GGA.

Cell: 8.959 4.481 9.516 Å, 90.00 99.09 90.00°
Fractional positions:
Ac1 0.122 0.250 0.227
Ac2 0.878 0.750 0.773
Zn1 0.085 0.250 0.586
Zn2 0.915 0.750 0.414
Sn1 0.389 0.750 0.826
Sn2 0.611 0.250 0.174
Sb1 0.158 0.250 0.881
Sb2 0.236 0.750 0.504
Sb3 0.380 0.750 0.143
Sb4 0.620 0.250 0.857
Sb5 0.764 0.250 0.496
Sb6 0.842 0.750 0.119

Computed properties:
**Formation energy (no corrections)**: -29.3 kJ per mole of atoms
**Fermi-level density of states**: 4.80 states/eV/cell

Here is CsNaHf2 after structural relaxation from Alexandria via LeMat-Bulk. Energies are from PBE-GGA.

Cell: 7.219 7.219 7.219 Å, 99.47 99.47 132.14°
Fractional positions:
Cs1 0.000 0.000 0.000
Cs2 0.750 0.250 0.500
Na1 0.250 0.750 0.500
Na2 0.500 0.500 0.000
Hf1 0.130 0.625 0.005
Hf2 0.375 0.380 0.505
Hf3 0.620 0.125 0.995
Hf4 0.875 0.870 0.495

Computed properties:
**Fermi-level density of states**: 9.28 states/eV/cell
**Energy above the lowest structure with this stoichiometry**: 0.000 eV/atom
**Formation energy**: 151.2 kJ/mol of atoms

Here is Mg3Si2Pd after structural relaxation from Alexandria via LeMat-Bulk. Energies are from PBE-GGA.

Cell: 7.630 8.819 6.717 Å, 90.00 103.87 90.00°
Fractional positions:
Mg1 0.169 0.043 0.416
Mg2 0.169 0.457 0.916
Mg3 0.200 0.041 0.932
Mg4 0.200 0.459 0.432
Mg5 0.300 0.748 0.209
Mg6 0.300 0.752 0.709
Mg7 0.700 0.248 0.291
Mg8 0.700 0.252 0.791
Mg9 0.800 0.541 0.568
Mg10 0.800 0.959 0.068
Mg11 0.831 0.543 0.084
Mg12 0.831 0.957 0.584
Si1 0.011 0.749 0.378
Si2 0.011 0.751 0.878
Si3 0.499 0.000 0.314
Si4 0.499 0.500 0.814
Si5 0.501 0.000 0.686
Si6 0.501 0.500 0.186
Si7 0.989 0.249 0.122
Si8 0.989 0.251 0.622
Pd1 0.335 0.247 0.714
Pd2 0.335 0.253 0.214
Pd3 0.665 0.747 0.786
Pd4 0.665 0.753 0.286

Computed properties:
**Formation energy (no corrections)**: -24.7 kJ per mole of atoms
**Fermi-level density of states**: 7.26 states/eV/cell

Here is CuW2 after structural relaxation from Alexandria via LeMat-Bulk. Energies are from PBE-GGA.

Cell: 3.810 3.810 3.490 Å, 90.00 90.00 90.00°
Fractional positions:
Cu1 0.000 0.000 0.000
W1 0.000 0.500 0.500
W2 0.500 0.000 0.500

Computed properties:
**Fermi-level density of states**: 2.77 states/eV/cell
**Energy above the lowest structure with this stoichiometry**: 0.792 eV/atom
**Formation energy**: 106.4 kJ/mol of atoms

Here is Sc2CrPb after structural relaxation from Alexandria via LeMat-Bulk. Energies are from PBE-GGA.

Cell: 4.866 4.866 4.866 Å, 60.00 60.00 60.00°
Fractional positions:
Sc1 0.000 0.000 0.000
Sc2 0.250 0.250 0.250
Cr1 0.500 0.500 0.500
Pb1 0.750 0.750 0.750

Computed properties:
**Fermi-level density of states**: 3.91 states/eV/cell
**Formation energy**: 8.4 kJ/mol of atoms

Here is Pm6MgIn after structural relaxation from Alexandria via LeMat-Bulk. Energies are from PBE-GGA.

Cell: 4.984 4.984 9.946 Å, 90.00 90.00 90.00°
Fractional positions:
Pm1 0.000 0.000 0.000
Pm2 0.000 0.000 0.500
Pm3 0.000 0.500 0.247
Pm4 0.000 0.500 0.753
Pm5 0.500 0.000 0.247
Pm6 0.500 0.000 0.753
Mg1 0.500 0.500 0.500
In1 0.500 0.500 0.000

Computed properties:
**Fermi-level density of states**: 13.78 states/eV/cell
**Formation energy**: -12.8 kJ/mol of atoms

Here is ThNpPaTc after structural relaxation from Alexandria via LeMat-Bulk. Energies are from PBE-GGA.

Cell: 5.018 5.018 5.018 Å, 60.00 60.00 60.00°
Fractional positions:
Th1 0.000 0.000 0.000
Np1 0.250 0.250 0.250
Pa1 0.500 0.500 0.500
Tc1 0.750 0.750 0.750

Computed properties:
**Fermi-level density of states**: 9.30 states/eV/cell
**Formation energy**: 23.6 kJ/mol of atoms